The following is a meta-GGA SCAN calculation of LaGe3Ir at its PBEsol-relaxed geometry, from Alexandria via LeMat-Bulk.

Results
DFT formation energy (eV/atom): -0.879
Total magnetization (μB per atom): 0.00
Calculated volume (Å³/cell): 97.7

```
LaGe3Ir
1.0
-1.771 3.953 0.818
-4.019 -1.642 -0.768
2.457 -2.358 4.836
La Ge Ir
1 3 1
Direct
0.421 0.421 0.841
0.656 0.156 0.313
0.999 0.999 0.999
0.156 0.656 0.313
0.762 0.762 0.523
```



The following is a meta-GGA SCAN calculation of YCrI2N at its PBEsol-relaxed geometry, from Alexandria via LeMat-Bulk.

Results
Total magnetization (μB per atom): 0.51
Calculated volume (Å³/cell): 111.2
Electronic total energy (eV per atom): -26.09

```
YCrI2N
1.0
3.618 0.000 0.000
0.000 5.545 0.000
0.000 0.000 5.545
Cr Y I N
1 1 2 1
Direct
0.000 0.000 0.000
0.500 0.500 0.500
0.000 0.500 0.000
0.000 0.000 0.500
0.500 0.000 0.000
```



The following is a meta-GGA SCAN calculation of TlZn2Cl at its PBEsol-relaxed geometry, from Alexandria via LeMat-Bulk.

Results
Total magnetization (μB per atom): 0.00
Calculated volume (Å³/cell): 88.9
Polymorph energy (0 for the lowest one) (meV/atom): 0

```
TlZn2Cl
1.0
3.485 0.000 -0.071
0.000 3.477 0.000
-1.584 0.000 7.368
Tl Zn Cl
1 2 1
Direct
0.067 0.500 0.757
0.728 0.500 0.083
0.273 0.000 0.173
0.432 0.000 0.488
```



The following is a meta-GGA SCAN calculation of Sr2Co at its PBEsol-relaxed geometry, from Alexandria via LeMat-Bulk.

Results
DFT formation energy (eV/atom): 0.422
Total magnetization (μB per atom): 0.27
Calculated volume (Å³/cell): 189.1

```
Sr2Co
1.0
3.603 0.000 0.000
0.000 3.604 0.000
-1.802 -1.802 14.566
Sr Co
4 2
Direct
0.184 0.934 0.868
0.934 0.184 0.368
0.816 0.066 0.132
0.066 0.816 0.632
0.375 0.625 0.250
0.625 0.375 0.750
```



The following is a meta-GGA SCAN calculation of SrPrMn2O6 at its PBEsol-relaxed geometry, from Alexandria via LeMat-Bulk.

Results
Total magnetization (μB per atom): 0.70
Calculated volume (Å³/cell): 223.2
Electronic total energy (eV per atom): -16.83

```
SrPrMn2O6
1.0
5.389 0.000 0.000
0.000 5.443 0.000
0.000 0.000 7.608
Pr Mn O Sr
2 4 12 2
Direct
0.264 0.506 0.000
0.736 0.006 0.500
0.249 0.000 0.250
0.751 0.500 0.750
0.249 0.000 0.750
0.751 0.500 0.250
0.745 0.455 0.000
0.249 0.063 0.000
0.504 0.754 0.778
0.496 0.254 0.722
0.016 0.734 0.780
0.255 0.955 0.500
0.984 0.234 0.280
0.496 0.254 0.278
0.016 0.734 0.220
0.504 0.754 0.222
0.984 0.234 0.720
0.751 0.563 0.500
0.757 0.000 0.000
0.243 0.500 0.500
```



The following is a meta-GGA SCAN calculation of Mn2AlFe at its PBEsol-relaxed geometry, from Alexandria via LeMat-Bulk.

Results
DFT formation energy (eV/atom): -0.224
Total magnetization (μB per atom): 0.46
Calculated volume (Å³/cell): 45.9

```
Mn2AlFe
1.0
2.565 0.000 0.000
0.000 3.503 0.000
0.000 0.000 5.111
Mn Fe Al
2 1 1
Direct
0.000 0.000 0.005
0.500 0.500 0.236
0.500 0.500 0.751
0.000 0.000 0.507
```